[1]
Entry from Alexandria via LeMat-Bulk: PtS at its PBEsol-relaxed geometry (meta-GGA SCAN).

Values from the calculation:
Volume ... 16.75 Å³ per atom
DOS at the Fermi energy ... 0.00 states/eV/f.u.
Total DFT energy (no corrections) ... -40.415 eV/atom
Total magnetic moment ... 0.000 μB per atom

Geometry as CIF:
```
data_PtS
_chemical_formula_sum 'Pt8 S8'
_cell_length_a 6.387
_cell_length_b 6.387
_cell_length_c 6.568
_cell_angle_alpha 90.00
_cell_angle_beta 90.00
_cell_angle_gamma 90.00
_symmetry_space_group_name_H-M 'P 42/m'
_symmetry_Int_Tables_number 84
_symmetry_space_group_name_Hall '-P 4c'
loop_
_atom_site_label
_atom_site_type_symbol
_atom_site_fract_x
_atom_site_fract_y
_atom_site_fract_z
Pt1 Pt 0.000 0.000 0.250
Pt2 Pt 0.000 0.500 0.000
Pt3 Pt 0.256 0.473 0.500
S1 S 0.195 0.694 0.227
```


[2]
Entry from Alexandria via LeMat-Bulk: Sb3PtS at its PBEsol-relaxed geometry (meta-GGA SCAN).

Values from the calculation:
Volume ... 27.61 Å³ per atom
DOS at the Fermi energy ... 4.80 states/eV/f.u.
Total DFT energy (no corrections) ... -37.747 eV/atom
Total magnetic moment ... 0.000 μB per atom

Geometry as CIF:
```
data_Sb3PtS
_chemical_formula_sum 'Sb3 Pt1 S1'
_cell_length_a 5.168
_cell_length_b 5.168
_cell_length_c 5.168
_cell_angle_alpha 90.00
_cell_angle_beta 90.00
_cell_angle_gamma 90.00
_symmetry_space_group_name_H-M 'P m -3 m'
_symmetry_Int_Tables_number 221
_symmetry_space_group_name_Hall '-P 4 2 3'
loop_
_atom_site_label
_atom_site_type_symbol
_atom_site_fract_x
_atom_site_fract_y
_atom_site_fract_z
Sb1 Sb 0.000 0.000 0.500
Pt1 Pt 0.000 0.000 0.000
S1 S 0.500 0.500 0.500
```


[3]
Entry from Alexandria via LeMat-Bulk: Sb2TePtS at its PBEsol-relaxed geometry (meta-GGA SCAN).

Values from the calculation:
Volume ... 27.76 Å³ per atom
DOS at the Fermi energy ... 5.36 states/eV/f.u.
Total DFT energy (no corrections) ... -37.732 eV/atom
Total magnetic moment ... 0.000 μB per atom

Geometry as CIF:
```
data_Sb2TePtS
_chemical_formula_sum 'Sb2 Te1 Pt1 S1'
_cell_length_a 5.154
_cell_length_b 5.154
_cell_length_c 5.224
_cell_angle_alpha 90.00
_cell_angle_beta 90.00
_cell_angle_gamma 90.00
_symmetry_space_group_name_H-M 'P 4/m m m'
_symmetry_Int_Tables_number 123
_symmetry_space_group_name_Hall '-P 4 2'
loop_
_atom_site_label
_atom_site_type_symbol
_atom_site_fract_x
_atom_site_fract_y
_atom_site_fract_z
Sb1 Sb 0.000 0.500 0.000
Te1 Te 0.000 0.000 0.500
Pt1 Pt 0.000 0.000 0.000
S1 S 0.500 0.500 0.500
```


[4]
Entry from Alexandria via LeMat-Bulk: PtSeS2 at its PBEsol-relaxed geometry (meta-GGA SCAN).

Values from the calculation:
Volume ... 20.19 Å³ per atom
DOS at the Fermi energy ... 1.53 states/eV/f.u.
Total DFT energy (no corrections) ... -27.514 eV/atom
Total magnetic moment ... 0.000 μB per atom

Geometry as CIF:
```
data_PtSeS2
_chemical_formula_sum 'Pt3 Se3 S6'
_cell_length_a 3.6191
_cell_length_b 3.6191
_cell_length_c 21.3594
_cell_angle_alpha 90.00
_cell_angle_beta 90.00
_cell_angle_gamma 120.00
_symmetry_space_group_name_H-M 'R -3 m'
_symmetry_Int_Tables_number 166
_symmetry_space_group_name_Hall '-R 3 2"'
loop_
_atom_site_label
_atom_site_type_symbol
_atom_site_fract_x
_atom_site_fract_y
_atom_site_fract_z
Pt1 Pt 0.0000 0.0000 0.0000
Se1 Se 0.0000 0.0000 0.5000
S1 S 0.0000 0.0000 0.3893
```


[5]
Entry from Alexandria via LeMat-Bulk: TlPtSeS2 at its PBEsol-relaxed geometry (meta-GGA SCAN).

Values from the calculation:
Volume ... 22.35 Å³ per atom
DOS at the Fermi energy ... 2.92 states/eV/f.u.
Total DFT energy (no corrections) ... -35.925 eV/atom
Total magnetic moment ... 0.000 μB per atom

Geometry as CIF:
```
data_TlPtSeS2
_chemical_formula_sum 'Tl1 Pt1 Se1 S2'
_cell_length_a 4.919
_cell_length_b 4.919
_cell_length_c 4.619
_cell_angle_alpha 90.00
_cell_angle_beta 90.00
_cell_angle_gamma 90.00
_symmetry_space_group_name_H-M 'P 4/m m m'
_symmetry_Int_Tables_number 123
_symmetry_space_group_name_Hall '-P 4 2'
loop_
_atom_site_label
_atom_site_type_symbol
_atom_site_fract_x
_atom_site_fract_y
_atom_site_fract_z
Tl1 Tl 0.000 0.000 0.000
Pt1 Pt 0.500 0.500 0.000
Se1 Se 0.500 0.500 0.500
S1 S 0.000 0.500 0.500
```


[6]
Entry from Alexandria via LeMat-Bulk: SrSiPtS2 at its PBEsol-relaxed geometry (meta-GGA SCAN).

Values from the calculation:
Volume ... 20.35 Å³ per atom
DOS at the Fermi energy ... 1.30 states/eV/f.u.
Total DFT energy (no corrections) ... -25.085 eV/atom
Total magnetic moment ... 0.000 μB per atom

Geometry as CIF:
```
data_SrSiPtS2
_chemical_formula_sum 'Sr1 Si1 Pt1 S2'
_cell_length_a 4.725
_cell_length_b 4.725
_cell_length_c 4.556
_cell_angle_alpha 90.00
_cell_angle_beta 90.00
_cell_angle_gamma 90.00
_symmetry_space_group_name_H-M 'P 4/m m m'
_symmetry_Int_Tables_number 123
_symmetry_space_group_name_Hall '-P 4 2'
loop_
_atom_site_label
_atom_site_type_symbol
_atom_site_fract_x
_atom_site_fract_y
_atom_site_fract_z
Sr1 Sr 0.000 0.000 0.000
Si1 Si 0.500 0.500 0.500
Pt1 Pt 0.500 0.500 0.000
S1 S 0.000 0.500 0.500
```